No. 1
SiIr2: optimized geometry, PBE.

a = 7.274 Å, b = 7.274 Å, c = 7.274 Å
α = 60.00°, β = 60.00°, γ = 60.00°
Fractional positions:
1 Si 0.125 0.125 0.125
2 Si 0.875 0.875 0.875
3 Ir 0.000 0.000 0.000
4 Ir 0.000 0.000 0.500
5 Ir 0.000 0.500 0.000
6 Ir 0.500 0.000 0.000

crystal system = cubic
volume = 136 Å³/f.u.
symmetry = Fd-3m, No. 227
E_tot = -31.75 eV per cell

No. 2
SiIr2: optimized geometry, PBE.

a = 5.327 Å, b = 4.024 Å, c = 7.722 Å
α = 90.00°, β = 90.00°, γ = 90.00°
Fractional positions:
1 Si 0.206 0.250 0.101
2 Si 0.294 0.750 0.601
3 Si 0.706 0.250 0.399
4 Si 0.794 0.750 0.899
5 Ir 0.023 0.250 0.800
6 Ir 0.160 0.250 0.425
7 Ir 0.340 0.750 0.925
8 Ir 0.477 0.750 0.300
9 Ir 0.523 0.250 0.700
10 Ir 0.660 0.250 0.075
11 Ir 0.840 0.750 0.575
12 Ir 0.977 0.750 0.200

crystal system = orthorhombic
volume = 41 Å³/f.u.
symmetry = Pnma, No. 62
E_tot = -98.26 eV per cell

No. 3
Si2Ir: optimized geometry, PBE.

a = 4.048 Å, b = 4.048 Å, c = 4.048 Å
α = 60.00°, β = 60.00°, γ = 60.00°
Fractional positions:
1 Si 0.250 0.250 0.250
2 Si 0.750 0.750 0.750
3 Ir 0.000 0.000 0.000

crystal system = cubic
volume = 47 Å³/f.u.
symmetry = Fm-3m, No. 225
E_tot = -21.22 eV per cell

No. 4
Si2Ir: optimized geometry, PBE.

a = 6.375 Å, b = 3.570 Å, c = 7.634 Å
α = 90.00°, β = 90.00°, γ = 90.00°
Fractional positions:
1 Si 0.060 0.250 0.150
2 Si 0.135 0.250 0.559
3 Si 0.365 0.750 0.059
4 Si 0.440 0.750 0.650
5 Si 0.560 0.250 0.350
6 Si 0.635 0.250 0.941
7 Si 0.865 0.750 0.441
8 Si 0.940 0.750 0.850
9 Ir 0.242 0.750 0.361
10 Ir 0.258 0.250 0.861
11 Ir 0.742 0.750 0.139
12 Ir 0.758 0.250 0.639

crystal system = orthorhombic
volume = 43 Å³/f.u.
symmetry = Pnma, No. 62
E_tot = -82.35 eV per cell